{
  "formula": "UGaCuO6",
  "functional": "PBE",
  "state": "relaxed",
  "total_energy_ev_per_atom": -7.2363,
  "total_magnetization_mub_per_fu": 1.700,
  "formation_energy_uncorrected_mev_per_atom": -1885,
  "sg": "P4_2nm (102)",
  "cell": [[4.797, 0.000, 0.000], [0.000, 4.797, 0.000], [0.000, 0.000, 9.266]],
  "species": ["U", "U", "Ga", "Ga", "Cu", "Cu", "O", "O", "O", "O", "O", "O", "O", "O", "O", "O", "O", "O"],
  "frac_coords": [[0.500, 0.500, 0.167], [0.000, 0.000, 0.667], [0.500, 0.500, 0.831], [0.000, 0.000, 0.331], [0.500, 0.500, 0.502], [0.000, 0.000, 0.002], [0.195, 0.805, 0.496], [0.805, 0.195, 0.496], [0.305, 0.305, 0.996], [0.695, 0.695, 0.996], [0.186, 0.814, 0.168], [0.814, 0.186, 0.168], [0.314, 0.314, 0.668], [0.686, 0.686, 0.668], [0.802, 0.198, 0.836], [0.198, 0.802, 0.836], [0.698, 0.698, 0.336], [0.302, 0.302, 0.336]]
}